Record 1
Material: TbCe3Ga2
Method: DFT, PBE
State: relaxed

Properties
Calculated total energy, eV/atom: -5.115
Energy of formation, meV/atom: -367
Symmetry: C2/m, No. 12

abc: 4.3533 9.0839 8.5352
angles: 115.67 90.00 103.86
Positions (direct):
Ga 0.7488 0.4976 0.0900
Ga 0.2512 0.5024 0.9100
Ga 0.4827 0.9654 0.8283
Ga 0.5173 0.0346 0.1717
Ce 0.3765 0.7531 0.3131
Ce 0.2878 0.5756 0.5977
Ce 0.0684 0.1367 0.4503
Ce 0.7122 0.4244 0.4023
Ce 0.6235 0.2469 0.6869
Ce 0.9316 0.8633 0.5497
Tb 0.8907 0.7815 0.9624
Tb 0.1093 0.2185 0.0376

---

Record 2
Material: TbCeGa3
Method: DFT, PBE
State: relaxed

Properties
Calculated total energy, eV/atom: -4.537
Energy of formation, meV/atom: -608
Symmetry: Cmcm, No. 63

abc: 4.1889 4.2887 13.0630
angles: 99.45 90.00 90.00
Each line ends with the local moment (μB).
Positions (direct):
Tb 0.7500 0.2035 0.4070  0.00
Tb 0.2500 0.7965 0.5930  0.00
Ce 0.2500 0.0730 0.1461  0.64
Ce 0.7500 0.9270 0.8539  0.64
Ga 0.2500 0.6766 0.3531  -0.01
Ga 0.7500 0.3234 0.6469  -0.01
Ga 0.2500 0.4758 0.9515  -0.01
Ga 0.7500 0.6199 0.2399  -0.01
Ga 0.7500 0.5242 0.0485  -0.01
Ga 0.2500 0.3801 0.7601  -0.01

---

Record 3
Material: TbCeGa2
Method: DFT, PBE
State: relaxed

Properties
Calculated total energy, eV/atom: -4.694
Energy of formation, meV/atom: -539
Symmetry: Amm2, No. 38

abc: 4.3806 4.1058 5.9319
angles: 90.00 111.63 90.00
Each line ends with the local moment (μB).
Positions (direct):
Ga 0.1548 0.5000 0.8490  -0.01
Ga 0.0082 0.0000 0.5549  -0.02
Ce 0.7248 0.0000 0.9893  0.62
Tb 0.4432 0.5000 0.4249  0.12

---

Record 4
Material: Tb2CeGa
Method: DFT, PBE
State: relaxed

Properties
ΔE to the lowest computed polymorph, meV per atom: 195
Calculated total energy, eV/atom: -4.601
Energy of formation, meV/atom: -46
Symmetry: Fm-3m, No. 225

abc: 5.2581 5.2581 5.2598
angles: 60.01 60.01 60.00
Positions (direct):
Tb 0.7498 0.7498 0.7505
Tb 0.2502 0.2502 0.2495
Ga 0.0000 0.0000 0.0000
Ce 0.5000 0.5000 0.5000

---

Record 5
Material: TbCeGa
Method: DFT, PBE
State: relaxed

Properties
ΔE to the lowest computed polymorph, meV per atom: 61
Calculated total energy, eV/atom: -4.814
Energy of formation, meV/atom: -284
Symmetry: I4mm, No. 107

abc: 3.4402 3.4402 7.1283
angles: 103.96 103.96 90.00
Each line ends with the local moment (μB).
Positions (direct):
Ce 0.3136 0.3136 0.6271  0.69
Tb 0.0223 0.0223 0.0446  0.06
Ga 0.6642 0.6642 0.3283  -0.01

---

Record 6
Material: Tb3CeGa4
Method: DFT, PBE
State: relaxed

Properties
Calculated total energy, eV/atom: -4.543
Energy of formation, meV/atom: -551
Symmetry: R-3m, No. 166

abc: 5.0855 5.0855 8.8616
angles: 73.33 73.33 60.00
Each line ends with the local moment (μB).
Positions (direct):
Ga 0.6239 0.6239 0.1282  0.01
Ga 0.1260 0.1260 0.6219  0.00
Ga 0.8740 0.8740 0.3781  0.00
Ga 0.3761 0.3761 0.8718  0.01
Tb 0.2494 0.2494 0.2518  0.00
Tb 0.5000 0.5000 0.5000  0.00
Tb 0.7506 0.7506 0.7482  0.00
Ce 0.0000 0.0000 0.0000  0.62

---

Record 7
Material: TbCe2Ga2
Method: DFT, PBE
State: relaxed

Properties
Calculated total energy, eV/atom: -4.865
Energy of formation, meV/atom: -355
Symmetry: P2_1/m, No. 11

abc: 4.3002 6.1621 10.1668
angles: 110.69 90.00 90.00
Each line ends with the local moment (μB).
Positions (direct):
Ce 0.7500 0.2231 0.1660  0.74
Ce 0.2500 0.4324 0.5611  0.29
Ce 0.2500 0.7769 0.8340  0.74
Ce 0.7500 0.5676 0.4389  0.29
Tb 0.7500 0.2130 0.7622  0.07
Tb 0.2500 0.7870 0.2378  0.07
Ga 0.7500 0.6532 0.0175  0.01
Ga 0.2500 0.9326 0.5645  0.00
Ga 0.7500 0.0674 0.4355  0.00
Ga 0.2500 0.3468 0.9825  0.01

---

Record 8
Material: TbCe4Ga5
Method: DFT, PBE
State: relaxed

Properties
Calculated total energy, eV/atom: -4.856
Energy of formation, meV/atom: -506
Symmetry: P4/mmm, No. 123

abc: 3.3162 3.3162 20.8904
angles: 90.00 90.00 90.00
Each line ends with the local moment (μB).
Positions (direct):
Ce 0.0000 0.0000 0.3990  -0.21
Ce 0.0000 0.0000 0.1966  0.24
Ce 0.0000 0.0000 0.6010  -0.21
Ce 0.0000 0.0000 0.8034  0.24
Ga 0.5000 0.5000 0.2980  0.00
Ga 0.5000 0.5000 0.9033  -0.01
Ga 0.5000 0.5000 0.0967  -0.01
Ga 0.5000 0.5000 0.5000  0.01
Ga 0.5000 0.5000 0.7020  0.00
Tb 0.0000 0.0000 0.0000  -0.01

---

Copy entry 6 word for word.
Material: Tb3CeGa4
Method: DFT, PBE
State: relaxed

Properties
Calculated total energy, eV/atom: -4.543
Energy of formation, meV/atom: -551
Symmetry: R-3m, No. 166

abc: 5.0855 5.0855 8.8616
angles: 73.33 73.33 60.00
Each line ends with the local moment (μB).
Positions (direct):
Ga 0.6239 0.6239 0.1282  0.01
Ga 0.1260 0.1260 0.6219  0.00
Ga 0.8740 0.8740 0.3781  0.00
Ga 0.3761 0.3761 0.8718  0.01
Tb 0.2494 0.2494 0.2518  0.00
Tb 0.5000 0.5000 0.5000  0.00
Tb 0.7506 0.7506 0.7482  0.00
Ce 0.0000 0.0000 0.0000  0.62

---

Q: Which value of energy of formation does entry 3 give?
A: -539 meV/atom

---

Q: Which of these has the highest calculated total energy?
A: TbCeGa3

---

Q: The highest calculated total energy belongs to which entry?
A: TbCeGa3